No. 1
VASP calculation (PBE) on a geometry-optimized YTe2Pd2 structure.

Cell: 7.4997 7.4997 7.4997 Å, 148.54 148.54 45.08°
Element x y z (fractional)
Y (0.0000, 0.0000, 0.0000)
Te (0.3833, 0.3833, 0.0000)
Te (0.6167, 0.6167, 0.0000)
Pd (0.2500, 0.7500, 0.5000)
Pd (0.7500, 0.2500, 0.5000)

Summary:
total magnetization	0.0	μB/cell
VASP energy	-5.269	eV per atom
space group	No. 139
crystal system	tetragonal


No. 2
VASP calculation (PBE) on a geometry-optimized Ca3Pr2PuTe6 structure.

Cell: 10.1185 10.1185 9.0790 Å, 103.84 103.84 25.56°
Element x y z (fractional)
Ca (0.0000, 0.0000, 0.0000)
Ca (0.3328, 0.3328, 0.6651)
Ca (0.6672, 0.6672, 0.3349)
Pr (0.3331, 0.3331, 0.1649)
Pr (0.6669, 0.6669, 0.8351)
Pu (0.0000, 0.0000, 0.5000)
Te (0.1651, 0.1651, 0.0889)
Te (0.1669, 0.1669, 0.5801)
Te (0.4986, 0.4986, 0.7490)
Te (0.5014, 0.5014, 0.2510)
Te (0.8331, 0.8331, 0.4199)
Te (0.8349, 0.8349, 0.9111)

Summary:
total magnetization	6.1	μB/cell
VASP energy	-5.519	eV per atom
space group	No. 12
crystal system	monoclinic


No. 3
VASP calculation (PBE) on a geometry-optimized NaNd2AgTe4 structure.

Cell: 7.7554 4.5298 7.8499 Å, 90.00 110.64 90.00°
Element x y z (fractional)
Na (0.0000, 0.0000, 0.0000)
Nd (0.5000, 0.0000, 0.5000)
Nd (0.5000, 0.5000, 0.0000)
Ag (0.0000, 0.5000, 0.5000)
Te (0.2444, 0.0000, 0.7410)
Te (0.2524, 0.5000, 0.2501)
Te (0.7476, 0.5000, 0.7499)
Te (0.7556, 0.0000, 0.2590)

Summary:
total magnetization	0.0	μB/cell
VASP energy	-4.362	eV per atom
space group	No. 10
crystal system	monoclinic


No. 4
VASP calculation (PBE) on a geometry-optimized K2LaIr structure.

Cell: 4.4077 4.4077 6.5046 Å, 90.00 90.00 95.82°
Element x y z (fractional)
K (0.2210, 0.7790, 0.0000)
K (0.7790, 0.2210, 0.0000)
La (0.5000, 0.5000, 0.5000)
Ir (0.0000, 0.0000, 0.5000)

Summary:
ΔE_f	369	meV/atom
total magnetization	0.0	μB/cell
space group	No. 65
crystal system	orthorhombic


No. 5
VASP calculation (PBE) on a geometry-optimized PrTlSn structure.

Cell: 5.3492 5.3492 6.5865 Å, 90.00 90.00 110.41°
Element x y z (fractional)
Pr (0.1738, 0.8262, 0.7500)
Pr (0.8262, 0.1738, 0.2500)
Tl (0.1861, 0.8139, 0.2500)
Tl (0.8139, 0.1861, 0.7500)
Sn (0.5000, 0.5000, 0.0000)
Sn (0.5000, 0.5000, 0.5000)

Summary:
ΔE_f	-379	meV/atom
total magnetization	0.0	μB/cell
space group	No. 63
crystal system	orthorhombic


No. 6
VASP calculation (PBE) on a geometry-optimized Mg2Pt2Rh structure.

Cell: 6.7924 6.7924 3.7339 Å, 90.00 90.00 90.00°
Element x y z (fractional)
Mg (0.1700, 0.3300, 0.0000)
Mg (0.3300, 0.8300, 0.0000)
Mg (0.6700, 0.1700, 0.0000)
Mg (0.8300, 0.6700, 0.0000)
Pt (0.1343, 0.6343, 0.5000)
Pt (0.3657, 0.1343, 0.5000)
Pt (0.6343, 0.8657, 0.5000)
Pt (0.8657, 0.3657, 0.5000)
Rh (0.0000, 0.0000, 0.5000)
Rh (0.5000, 0.5000, 0.5000)

Summary:
ΔE_f	-458	meV/atom
total magnetization	0.0	μB/cell
space group	No. 127
crystal system	tetragonal


No. 7
VASP calculation (PBE) on a geometry-optimized Nd2Ge3Pd4Au structure.

Cell: 4.3424 4.3424 10.5004 Å, 90.00 90.00 90.00°
Element x y z (fractional)
Nd (0.0000, 0.5000, 0.2451)
Nd (0.5000, 0.0000, 0.7549)
Ge (0.0000, 0.0000, 0.0000)
Ge (0.0000, 0.5000, 0.6227)
Ge (0.5000, 0.0000, 0.3773)
Pd (0.0000, 0.0000, 0.5000)
Pd (0.0000, 0.5000, 0.8529)
Pd (0.5000, 0.0000, 0.1471)
Pd (0.5000, 0.5000, 0.5000)
Au (0.5000, 0.5000, 0.0000)

Summary:
ΔE_f	-741	meV/atom
total magnetization	0.0	μB/cell
space group	No. 115
crystal system	tetragonal


No. 8
VASP calculation (PBE) on a geometry-optimized Ni8GeAs2 structure.

Cell: 6.8320 6.8320 5.7912 Å, 111.75 111.75 31.88°
Element x y z (fractional)
Ni (0.0305, 0.0305, 0.2673)
Ni (0.1730, 0.1730, 0.7538)
Ni (0.3276, 0.3276, 0.5657)
Ni (0.4093, 0.4093, 0.0444)
Ni (0.5907, 0.5907, 0.9556)
Ni (0.6724, 0.6724, 0.4343)
Ni (0.8270, 0.8270, 0.2462)
Ni (0.9695, 0.9695, 0.7327)
Ge (0.5000, 0.5000, 0.5000)
As (0.1880, 0.1880, 0.1730)
As (0.8120, 0.8120, 0.8270)

Summary:
ΔE_f	-224	meV/atom
total magnetization	0.0	μB/cell
space group	No. 12
crystal system	monoclinic